[1]
The following is a DFT calculation (PBE) of a relaxed Mg2Au crystal.

Computed properties:
Space group = Pnma (62)

a b c (Å): 18.263 13.474 8.393
angles (deg): 90.00 90.00 90.00
Sites, in units of the cell vectors:
Mg 0.560 0.750 0.437
Mg 0.513 0.084 0.798
Au 0.575 0.083 0.115
Mg 0.154 0.582 0.203
Mg 0.276 0.250 0.936
Mg 0.846 0.082 0.797
Mg 0.846 0.750 0.800
Mg 0.846 0.418 0.797
Mg 0.487 0.250 0.204
Au 0.075 0.083 0.385
Au 0.092 0.583 0.886
Mg 0.320 0.250 0.295
Au 0.075 0.417 0.385
Au 0.258 0.584 0.613
Au 0.741 0.750 0.386
Au 0.925 0.583 0.615
Mg 0.775 0.917 0.563
Au 0.092 0.917 0.886
Mg 0.179 0.416 0.797
Mg 0.943 0.916 0.938
Mg 0.487 0.584 0.202
Au 0.925 0.917 0.615
Mg 0.443 0.584 0.562
Mg 0.680 0.750 0.705
Mg 0.654 0.918 0.297
Au 0.759 0.250 0.886
Au 0.075 0.750 0.387
Mg 0.392 0.417 0.063
Mg 0.321 0.584 0.297
Au 0.758 0.916 0.887
Mg 0.892 0.417 0.437
Mg 0.609 0.250 0.939
Au 0.090 0.250 0.884
Mg 0.821 0.916 0.203
Mg 0.820 0.250 0.205
Mg 0.109 0.250 0.561
Au 0.425 0.917 0.885
Au 0.575 0.750 0.113
Mg 0.513 0.750 0.796
Mg 0.013 0.084 0.702
Mg 0.275 0.583 0.937
Au 0.908 0.417 0.114
Au 0.575 0.417 0.115
Mg 0.987 0.916 0.298
Mg 0.013 0.750 0.704
Au 0.259 0.250 0.614
Au 0.258 0.916 0.613
Au 0.410 0.750 0.384
Mg 0.391 0.750 0.061
Mg 0.060 0.750 0.063
Mg 0.608 0.917 0.937
Mg 0.108 0.583 0.563
Mg 0.821 0.584 0.203
Mg 0.557 0.416 0.438
Mg 0.180 0.750 0.795
Mg 0.513 0.416 0.798
Au 0.242 0.084 0.113
Au 0.758 0.584 0.887
Au 0.925 0.250 0.613
Mg 0.608 0.583 0.937
Mg 0.775 0.583 0.563
Mg 0.487 0.916 0.202
Au 0.241 0.750 0.114
Au 0.910 0.750 0.116
Au 0.408 0.083 0.386
Mg 0.654 0.582 0.297
Mg 0.225 0.083 0.437
Mg 0.179 0.084 0.797
Mg 0.346 0.082 0.703
Au 0.742 0.416 0.387
Mg 0.057 0.416 0.062
Mg 0.679 0.084 0.703
Mg 0.654 0.250 0.300
Mg 0.057 0.084 0.062
Mg 0.557 0.084 0.438
Mg 0.154 0.250 0.200
Mg 0.891 0.750 0.439
Mg 0.679 0.416 0.703
Mg 0.224 0.750 0.436
Mg 0.940 0.250 0.937
Mg 0.275 0.917 0.937
Mg 0.724 0.750 0.064
Mg 0.987 0.250 0.296
Au 0.408 0.417 0.386
Mg 0.392 0.083 0.063
Mg 0.346 0.418 0.703
Mg 0.725 0.417 0.063
Au 0.425 0.250 0.887
Mg 0.725 0.083 0.063
Au 0.592 0.583 0.614
Au 0.592 0.917 0.614
Mg 0.108 0.917 0.563
Mg 0.943 0.584 0.938
Au 0.742 0.084 0.387
Au 0.908 0.083 0.114
Mg 0.225 0.417 0.437
Au 0.590 0.250 0.616
Mg 0.776 0.250 0.564
Mg 0.346 0.750 0.700
Mg 0.892 0.083 0.437
Au 0.425 0.583 0.885
Au 0.242 0.416 0.113
Mg 0.440 0.250 0.563
Mg 0.321 0.916 0.297
Mg 0.443 0.916 0.562
Mg 0.987 0.584 0.298
Mg 0.154 0.918 0.203
Mg 0.013 0.416 0.702

[2]
The following is a DFT calculation (PBE) of a relaxed PmSiPb crystal.

Computed properties:
Total moment = 0.001 μB/cell
Space group = F-43m (216)
Excess energy over the best structure of this formula in the dataset = 0.0000 eV/atom

a b c (Å): 4.964 4.964 4.964
angles (deg): 60.00 60.00 60.00
Sites, in units of the cell vectors:
Si 0.000 0.000 0.000
Pb 0.250 0.250 0.250
Pm 0.750 0.750 0.750

[3]
The following is a DFT calculation (PBE) of a relaxed Re2Ir crystal.

Computed properties:
Energy of formation = 1.4 eV per formula unit
Total moment = 0.001 μB/cell
Space group = Fd-3m (227)
Excess energy over the best structure of this formula in the dataset = 0.0000 eV/atom

a b c (Å): 5.097 5.097 5.097
angles (deg): 60.00 60.00 60.00
Sites, in units of the cell vectors:
Ir 0.000 0.000 0.000
Re 0.125 0.625 0.625
Re 0.625 0.625 0.125
Ir 0.250 0.250 0.250
Re 0.625 0.625 0.625
Re 0.625 0.125 0.625

[4]
The following is a DFT calculation (PBE) of a relaxed TaNbTlCu crystal.

Computed properties:
Total moment = 0.007 μB/cell
Space group = F-43m (216)
Excess energy over the best structure of this formula in the dataset = 0.0000 eV/atom

a b c (Å): 4.696 4.696 4.696
angles (deg): 60.00 60.00 60.00
Sites, in units of the cell vectors:
Ta 0.500 0.500 0.500
Nb 0.250 0.250 0.250
Cu 0.750 0.750 0.750
Tl 0.000 0.000 0.000

[5]
The following is a DFT calculation (PBE) of a relaxed GaNiMo crystal.

Computed properties:
Total moment = 0.003 μB/cell
Space group = F-43m (216)

a b c (Å): 4.135 4.135 4.135
angles (deg): 60.00 60.00 60.00
Sites, in units of the cell vectors:
Ga 0.250 0.250 0.250
Ni 0.750 0.750 0.750
Mo 0.000 0.000 0.000

[6]
The following is a DFT calculation (PBE) of a relaxed AcAuO3 crystal.

Computed properties:
Total moment = 0.000 μB/cell
Space group = R-3c (167)

a b c (Å): 5.747 5.747 5.747
angles (deg): 63.73 63.73 63.73
Sites, in units of the cell vectors:
Au 0.500 0.500 0.500
O 0.750 0.341 0.159
O 0.659 0.841 0.250
Ac 0.750 0.750 0.750
O 0.159 0.750 0.341
O 0.841 0.250 0.659
Au 0.000 0.000 0.000
O 0.341 0.159 0.750
Ac 0.250 0.250 0.250
O 0.250 0.659 0.841

[7]
The following is a DFT calculation (PBE) of a relaxed KLu2 crystal.

Computed properties:
Total moment = 1.640 μB/cell
Space group = Fd-3m (227)
Excess energy over the best structure of this formula in the dataset = 0.0000 eV/atom

a b c (Å): 6.946 6.946 6.946
angles (deg): 60.00 60.00 60.00
Last column: magnetic moment on the atom in μB.
Sites, in units of the cell vectors:
Lu 0.625 0.125 0.625  0.20
Lu 0.125 0.625 0.625  0.23
Lu 0.625 0.625 0.125  0.23
K 0.000 0.000 0.000  0.01
K 0.250 0.250 0.250  0.01
Lu 0.625 0.625 0.625  0.23

[8]
The following is a DFT calculation (PBE) of a relaxed NaGdSi crystal.

Computed properties:
Total moment = 0.001 μB/cell
Space group = F-43m (216)

a b c (Å): 4.856 4.856 4.856
angles (deg): 60.00 60.00 60.00
Sites, in units of the cell vectors:
Si 0.000 0.000 0.000
Na 0.750 0.750 0.750
Gd 0.250 0.250 0.250

[9]
The following is a DFT calculation (PBE) of a relaxed HfTaAsC crystal.

Computed properties:
Total moment = 0.006 μB/cell
Space group = P6_3mc (186)
Excess energy over the best structure of this formula in the dataset = 0.0000 eV/atom

a b c (Å): 3.365 3.365 12.256
angles (deg): 90.00 90.00 120.00
Sites, in units of the cell vectors:
C 0.000 0.000 0.996
Hf 0.333 0.667 0.596
Ta 0.667 0.333 0.403
As 0.333 0.667 0.255
Ta 0.333 0.667 0.903
C 0.000 0.000 0.496
Hf 0.667 0.333 0.096
As 0.667 0.333 0.755

[10]
The following is a DFT calculation (PBE) of a relaxed Cu9As crystal.

Computed properties:
Space group = Pmmn (59)

a b c (Å): 2.548 3.512 34.248
angles (deg): 90.00 90.00 90.00
Sites, in units of the cell vectors:
Cu 0.000 0.000 0.326
Cu 0.000 0.000 0.249
Cu 0.500 0.500 0.211
Cu 0.500 0.500 0.751
Cu 0.500 0.500 0.674
Cu 0.500 0.500 0.135
Cu 0.000 0.000 0.865
Cu 0.500 0.500 0.058
Cu 0.500 0.500 0.904
Cu 0.500 0.500 0.827
Cu 0.000 0.000 0.173
Cu 0.000 0.000 0.942
As 0.500 0.500 0.366
Cu 0.000 0.000 0.019
Cu 0.000 0.000 0.096
Cu 0.500 0.500 0.981
Cu 0.000 0.000 0.789
Cu 0.000 0.000 0.713
As 0.000 0.000 0.634
Cu 0.500 0.500 0.287

[11]
The following is a DFT calculation (PBE) of a relaxed HfHgPt crystal.

Computed properties:
Energy of formation = -1.2 eV per formula unit
Total moment = 0.566 μB/cell
Space group = F-43m (216)
Excess energy over the best structure of this formula in the dataset = 0.1709 eV/atom

a b c (Å): 4.529 4.529 4.529
angles (deg): 60.00 60.00 60.00
Sites, in units of the cell vectors:
Pt 0.000 0.000 0.000
Hg 0.750 0.750 0.750
Hf 0.250 0.250 0.250

[12]
The following is a DFT calculation (PBE) of a relaxed HoLuHf crystal.

Computed properties:
Energy of formation = 2.6 eV per formula unit
Total moment = 0.716 μB/cell
Space group = F-43m (216)
Excess energy over the best structure of this formula in the dataset = 0.0000 eV/atom

a b c (Å): 5.138 5.138 5.138
angles (deg): 60.00 60.00 60.00
Sites, in units of the cell vectors:
Lu 0.750 0.750 0.750
Ho 0.250 0.250 0.250
Hf 0.000 0.000 0.000

Number 1: DFT total energy -283.9 eV/cell. Number 2: DFT total energy -14.2 eV/cell. Number 3: DFT total energy -64.6 eV/cell. Number 4: DFT total energy -25.5 eV/cell. Number 5: DFT total energy -17.8 eV/cell. Number 6: DFT total energy -60.6 eV/cell. Number 7: DFT total energy -16.8 eV/cell. Number 8: DFT total energy -12.0 eV/cell. Number 9: DFT total energy -78.0 eV/cell. Number 10: DFT total energy -75.4 eV/cell. Number 11: DFT total energy -17.5 eV/cell. Number 12: DFT total energy -16.5 eV/cell.